[1]
Here is crystalline BaTaPd3 at its relaxed geometry from Alexandria via LeMat-Bulk. Energies are from PBE.

Summary:
**Energy above the most stable polymorph in this dataset**: 0.000 eV/atom
**Uncorrected energy**: -5.743 eV/atom
**ΔH_f (0 K)**: 128 meV per atom
**Magnetic moment**: 0.00 μB/cell
**V**: 25.4 A^3/atom
**SG**: No. 221

Lattice parameters (Å, degrees): 5.030 5.030 5.030 90.00 90.00 90.00
Element x y z (fractional)
1 Ba 0.500 0.500 0.500
2 Pd 0.000 0.500 0.000
3 Pd 0.000 0.000 0.500
4 Pd 0.500 0.000 0.000
5 Ta 0.000 0.000 0.000

***

[2]
Here is crystalline NaYSe2F at its relaxed geometry from Alexandria via LeMat-Bulk. Energies are from PBE.

Summary:
**Uncorrected energy**: -4.489 eV/atom
**Magnetic moment**: 0.00 μB/cell
**Formation energy (no corrections)**: -1165 meV per atom
**V**: 21.0 A^3/atom
**SG**: No. 123

Lattice parameters (Å, degrees): 5.189 3.904 5.189 90.00 90.00 90.00
Element x y z (fractional)
1 Y 0.500 0.500 0.500
2 Na 0.000 0.500 0.000
3 Se 0.000 0.000 0.500
4 Se 0.500 0.000 0.000
5 F 0.000 0.000 0.000

***

[3]
Here is crystalline Pm7Al2Pb2 at its relaxed geometry from Alexandria via LeMat-Bulk. Energies are from PBE.

Summary:
**Uncorrected energy**: -4.464 eV/atom
**ΔH_f (0 K)**: -86 meV per atom
**Magnetic moment**: 0.00 μB/cell
**V**: 32.8 A^3/atom
**SG**: No. 65

Lattice parameters (Å, degrees): 7.028 7.795 7.028 90.00 110.49 90.00
Element x y z (fractional)
1 Pm 0.000 0.282 0.500
2 Pm 0.500 0.718 0.000
3 Pm 0.000 0.718 0.500
4 Pm 0.500 0.282 0.000
5 Pm 0.000 0.000 0.000
6 Pm 0.500 0.766 0.500
7 Pm 0.500 0.234 0.500
8 Al 0.719 0.000 0.281
9 Al 0.281 0.000 0.719
10 Pb 0.811 0.500 0.811
11 Pb 0.189 0.500 0.189

***

[4]
Here is crystalline Mn3CrCo6 at its relaxed geometry from Alexandria via LeMat-Bulk. Energies are from PBE.

Summary:
**Uncorrected energy**: -7.672 eV/atom
**ΔH_f (0 K)**: 304 meV per atom
**Magnetic moment**: 16.50 μB/cell
**V**: 12.7 A^3/atom
**SG**: No. 12

Lattice parameters (Å, degrees): 8.619 6.080 6.080 45.65 40.13 40.13
Each line ends with the local moment (μB).
Element x y z (fractional)
1 Mn 0.230 0.259 0.259  3.54
2 Mn 0.770 0.741 0.741  3.54
3 Mn 0.000 0.000 0.000  3.44
4 Cr 0.500 0.500 0.500  -2.34
5 Co 0.334 0.181 0.671  1.48
6 Co 0.666 0.329 0.819  1.48
7 Co 0.666 0.819 0.329  1.48
8 Co 0.334 0.671 0.181  1.48
9 Co 0.035 0.757 0.757  1.10
10 Co 0.965 0.243 0.243  1.10

***

[5]
Here is crystalline ThZnP2Ir5 at its relaxed geometry from Alexandria via LeMat-Bulk. Energies are from PBE.

Summary:
**Uncorrected energy**: -7.540 eV/atom
**ΔH_f (0 K)**: -449 meV per atom
**Magnetic moment**: 0.00 μB/cell
**V**: 18.1 A^3/atom
**SG**: No. 123

Lattice parameters (Å, degrees): 4.076 4.076 9.779 90.00 90.00 90.00
Element x y z (fractional)
1 Th 0.000 0.000 0.500
2 Zn 0.000 0.000 0.000
3 P 0.500 0.500 0.266
4 P 0.500 0.500 0.734
5 Ir 0.000 0.500 0.162
6 Ir 0.500 0.000 0.162
7 Ir 0.000 0.500 0.838
8 Ir 0.500 0.000 0.838
9 Ir 0.500 0.500 0.500

***

[6]
Here is crystalline Tm6SnSb3Se2 at its relaxed geometry from Alexandria via LeMat-Bulk. Energies are from PBE.

Summary:
**Uncorrected energy**: -5.397 eV/atom
**Magnetic moment**: 0.00 μB/cell
**Formation energy (no corrections)**: -1216 meV per atom
**V**: 27.0 A^3/atom
**SG**: No. 12

Lattice parameters (Å, degrees): 7.349 7.349 7.348 99.62 99.62 119.91
Element x y z (fractional)
1 Tm 0.919 0.582 0.756
2 Tm 0.743 0.743 0.241
3 Tm 0.081 0.418 0.244
4 Tm 0.582 0.919 0.756
5 Tm 0.257 0.257 0.759
6 Tm 0.418 0.081 0.244
7 Sn 0.000 0.000 0.000
8 Sb 0.165 0.835 0.500
9 Sb 0.835 0.165 0.500
10 Sb 0.500 0.500 0.500
11 Se 0.334 0.666 0.000
12 Se 0.666 0.334 0.000